A plane-wave DFT calculation with PBE was carried out for KLiMn2Cl6 after structural relaxation.

Output
DOS(E_F)	0.00	states/eV per atom
raw formation energy	-1361	meV/atom

Structure (CIF):
```
data_KLiMn2Cl6
_cell_length_a 7.1000
_cell_length_b 7.1000
_cell_length_c 7.1000
_cell_angle_alpha 57.61
_cell_angle_beta 57.61
_cell_angle_gamma 57.61
_symmetry_space_group_name_H-M 'P 1'
_symmetry_Int_Tables_number 1
loop_
_symmetry_equiv_pos_as_xyz
'x,y,z'
loop_
_atom_site_label
_atom_site_fract_x
_atom_site_fract_y
_atom_site_fract_z
K1 0.0000 0.0000 0.0000
Li1 0.5465 0.5465 0.5465
Mn1 0.2258 0.2258 0.2258
Mn2 0.7385 0.7385 0.7385
Cl1 0.1009 0.4758 0.8527
Cl2 0.4098 0.9591 0.5449
Cl3 0.4758 0.8527 0.1009
Cl4 0.5449 0.4098 0.9591
Cl5 0.8527 0.1009 0.4758
Cl6 0.9591 0.5449 0.4098
```



A plane-wave DFT calculation with PBE was carried out for KLiMoCl6 after structural relaxation.

Output
DOS(E_F)	1.02	states/eV per atom
raw formation energy	-1323	meV/atom

Structure (CIF):
```
data_KLiMoCl6
_cell_length_a 6.5331
_cell_length_b 6.5331
_cell_length_c 13.8716
_cell_angle_alpha 90.00
_cell_angle_beta 90.00
_cell_angle_gamma 120.00
_symmetry_space_group_name_H-M 'P 1'
_symmetry_Int_Tables_number 1
loop_
_symmetry_equiv_pos_as_xyz
'x,y,z'
loop_
_atom_site_label
_atom_site_fract_x
_atom_site_fract_y
_atom_site_fract_z
K1 0.0000 0.0000 0.0000
K2 0.0000 0.0000 0.5000
Li1 0.3333 0.6667 0.2500
Li2 0.6667 0.3333 0.7500
Mo1 0.3333 0.6667 0.7500
Mo2 0.6667 0.3333 0.2500
Cl1 0.0210 0.3793 0.6502
Cl2 0.0210 0.6417 0.8498
Cl3 0.3583 0.3793 0.8498
Cl4 0.3583 0.9790 0.6502
Cl5 0.3793 0.0210 0.1502
Cl6 0.3793 0.3583 0.3498
Cl7 0.6207 0.6417 0.6502
Cl8 0.6207 0.9790 0.8498
Cl9 0.6417 0.0210 0.3498
Cl10 0.6417 0.6207 0.1502
Cl11 0.9790 0.3583 0.1502
Cl12 0.9790 0.6207 0.3498
```